The following is a DFT calculation (PBE) of MgTcIr2 after structural relaxation.

Values from the calculation:
crystal system	trigonal
DFT formation energy	-0.10	eV per atom

abc: 2.8082 2.8082 26.5146
angles: 90.00 90.00 120.00
Space group R-3m (No. 166, hexagonal axes)
Inequivalent atoms, fractional coordinates:
1 Mg 0.0000 0.0000 0.0000 x3
2 Tc 0.0000 0.0000 0.5000 x3
3 Ir 0.0000 0.0000 0.2473 x6



The following is a DFT calculation (PBE) of Sr2CdTc after structural relaxation.

Values from the calculation:
crystal system	orthorhombic
DFT formation energy	0.45	eV per atom

abc: 3.668 5.480 11.682
angles: 90.00 90.00 90.00
Space group Imm2 (No. 44)
Inequivalent atoms, fractional coordinates:
1 Sr 0.000 0.000 0.000 x2
2 Sr 0.000 0.500 0.202 x2
3 Cd 0.000 0.000 0.423 x2
4 Tc 0.000 0.500 0.744 x2



The following is a DFT calculation (PBE) of CrGa3As after structural relaxation.

Values from the calculation:
E above lowest polymorph	0.000	eV per atom
crystal system	cubic
DFT formation energy	0.57	eV per atom

abc: 4.795 4.795 4.795
angles: 90.00 90.00 90.00
Space group Pm-3m (No. 221)
Inequivalent atoms, fractional coordinates:
1 Cr 0.000 0.000 0.000 x1
2 Ga 0.000 0.000 0.500 x3
3 As 0.500 0.500 0.500 x1



The following is a DFT calculation (PBE) of Hg3W after structural relaxation.

Values from the calculation:
E above lowest polymorph	0.226	eV per atom
crystal system	orthorhombic
DFT formation energy	0.68	eV per atom

abc: 2.981 9.891 5.454
angles: 90.00 90.00 90.00
Space group Imm2 (No. 44)
Inequivalent atoms, fractional coordinates:
1 Hg 0.000 0.000 0.000 x2
2 Hg 0.000 0.237 0.331 x4
3 W 0.000 0.500 0.034 x2



The following is a DFT calculation (PBE) of BaHgBr4 after structural relaxation.

Values from the calculation:
E above lowest polymorph	0.657	eV per atom
ΔE_f (raw)	-0.649	eV/atom
crystal system	cubic

abc: 9.300 9.300 9.300
angles: 90.00 90.00 90.00
Space group F-43m (No. 216)
Inequivalent atoms, fractional coordinates:
1 Ba 0.000 0.000 0.000 x4
2 Hg 0.250 0.250 0.250 x4
3 Br 0.125 0.125 0.625 x16



The following is a DFT calculation (PBE) of LaHoZnCu after structural relaxation.

Values from the calculation:
E above lowest polymorph	0.000	eV per atom
crystal system	tetragonal
DFT formation energy	-0.26	eV per atom

abc: 3.585 3.585 7.296
angles: 90.00 90.00 90.00
Space group P4mm (No. 99)
Inequivalent atoms, fractional coordinates:
1 La 0.000 0.000 0.000 x1
2 Ho 0.000 0.000 0.486 x1
3 Zn 0.500 0.500 0.719 x1
4 Cu 0.500 0.500 0.280 x1



Number 1: calculated volume 181 Å³ per cell, total energy -90.274 eV/cell. Number 2: calculated volume 235 Å³ per cell, total energy -25.677 eV/cell. Number 3: calculated volume 110 Å³ per cell, total energy -20.488 eV/cell. Number 4: calculated volume 161 Å³ per cell, total energy -22.287 eV/cell. Number 5: calculated volume 804 Å³ per cell, total energy -51.250 eV/cell. Number 6: calculated volume 94 Å³ per cell, total energy -15.909 eV/cell.